Record 1
The following is a PBE calculation of an optimized crystal structure of Mn6Ni16Ge7, from Alexandria via LeMat-Bulk.

a b c (Å): 11.232 11.232 11.232
angles (deg): 90.00 90.00 90.00
Space group Fm-3m (No. 225)
Unique sites:
Mn 0.000 0.000 0.147 x24
Ni 0.118 0.118 0.382 x32
Ni 0.164 0.164 0.164 x32
Ge 0.000 0.000 0.500 x4
Ge 0.000 0.250 0.250 x24

Summary:
Magnetic moment = 0.0 Bohr magnetons per cell
Energy relative to the elements = -11.2 kJ/mol of atoms
ρ = 8.331 Mg/m³



Record 2
The following is a PBE calculation of an optimized crystal structure of Mn3Ni3Ge4, from Alexandria via LeMat-Bulk.

a b c (Å): 8.509 8.509 8.509
angles (deg): 90.00 90.00 90.00
Space group I-43d (No. 220)
Unique sites:
Mn 0.000 0.250 0.375 x12
Ni 0.000 0.250 0.875 x12
Ge 0.058 0.058 0.058 x16

Summary:
Magnetic moment = 40.9 Bohr magnetons per cell
Energy relative to the elements = -0.8 kJ/mol of atoms
ρ = 6.809 Mg/m³



Record 3
The following is a PBE calculation of an optimized crystal structure of MnNiGe3, from Alexandria via LeMat-Bulk.

a b c (Å): 4.513 4.513 4.513
angles (deg): 90.00 90.00 90.00
Space group Pm-3m (No. 221)
Unique sites:
Mn 0.000 0.000 0.000 x1
Ni 0.500 0.500 0.500 x1
Ge 0.000 0.000 0.500 x3

Summary:
Magnetic moment = 0.6 Bohr magnetons per cell
Energy relative to the elements = 50.3 kJ/mol of atoms
ρ = 5.989 Mg/m³



Record 4
The following is a PBE calculation of an optimized crystal structure of Mn4Ni15Ge, from Alexandria via LeMat-Bulk.

a b c (Å): 3.570 3.570 17.813
angles (deg): 90.00 90.00 90.00
Space group P4/mmm (No. 123)
Unique sites:
Mn 0.000 0.000 0.100 x2
Mn 0.000 0.000 0.300 x2
Ni 0.000 0.500 0.000 x2
Ni 0.000 0.500 0.200 x4
Ni 0.000 0.500 0.400 x4
Ni 0.500 0.500 0.100 x2
Ni 0.500 0.500 0.301 x2
Ni 0.500 0.500 0.500 x1
Ge 0.000 0.000 0.500 x1

Summary:
Magnetic moment = 19.5 Bohr magnetons per cell
Energy relative to the elements = -13.3 kJ/mol of atoms
ρ = 8.579 Mg/m³



Record 5
The following is a PBE calculation of an optimized crystal structure of MnNiGe2, from Alexandria via LeMat-Bulk.

a b c (Å): 3.8847 3.8847 14.0727
angles (deg): 90.00 90.00 120.00
Space group R3m (No. 160, hexagonal axes)
Unique sites:
Mn 0.0000 0.0000 0.0000 x3
Ni 0.0000 0.0000 0.8120 x3
Ge 0.0000 0.0000 0.2250 x3
Ge 0.0000 0.0000 0.4217 x3

Summary:
Magnetic moment = 10.5 Bohr magnetons per cell
Energy relative to the elements = -1.2 kJ/mol of atoms
ρ = 7.013 Mg/m³



Record 6
The following is a PBE calculation of an optimized crystal structure of Np2MnNi3Ge4, from Alexandria via LeMat-Bulk.

a b c (Å): 4.119 4.119 9.687
angles (deg): 90.00 90.00 90.00
Space group P-4m2 (No. 115)
Unique sites:
Np 0.000 0.500 0.249 x2
Mn 0.500 0.500 0.000 x1
Ni 0.000 0.000 0.000 x1
Ni 0.000 0.500 0.622 x2
Ge 0.000 0.000 0.500 x1
Ge 0.000 0.500 0.862 x2
Ge 0.500 0.500 0.500 x1

Summary:
Magnetic moment = 4.7 Bohr magnetons per cell
Energy relative to the elements = -30.3 kJ/mol of atoms
ρ = 10.059 Mg/m³



- Look up the magnetic moment of the third one.
  0.6 Bohr magnetons per cell